Crystalline La2Pr9Tm at its relaxed geometry, computed with PBE-GGA.

a b c (Å): 5.2334 5.2334 15.7060
angles (deg): 90.00 90.00 90.00
Fractional coordinates of all 12 atoms:
La 0.0000 0.0000 0.3319
La 0.0000 0.0000 0.6681
Tm 0.0000 0.0000 0.0000
Pr 0.0000 0.5000 0.1630
Pr 0.0000 0.5000 0.5000
Pr 0.0000 0.5000 0.8370
Pr 0.5000 0.0000 0.5000
Pr 0.5000 0.5000 0.0000
Pr 0.5000 0.0000 0.8370
Pr 0.5000 0.5000 0.3312
Pr 0.5000 0.0000 0.1630
Pr 0.5000 0.5000 0.6688

## Properties
total energy = -4.764 eV per atom
theoretical density = 6620 kg/m3
magnetic moment = 0.0 μB per cell
space-group type = P4/mmm, No. 123
calculated volume = 35.85 Å³ per atom

---

Crystalline Ag12Te5I3 at its relaxed geometry, computed with PBE-GGA.

a b c (Å): 14.5953 14.5953 14.5953
angles (deg): 109.47 109.47 109.47
Fractional coordinates of all 80 atoms:
I 0.2500 0.6250 0.8750
I 0.1250 0.8750 0.7500
I 0.3750 0.6250 0.2500
I 0.1250 0.2500 0.8750
I 0.8750 0.1250 0.2500
I 0.7500 0.8750 0.6250
I 0.3750 0.7500 0.6250
I 0.6250 0.2500 0.3750
I 0.8750 0.7500 0.1250
I 0.2500 0.1250 0.3750
I 0.7500 0.3750 0.1250
I 0.6250 0.3750 0.7500
Ag 0.3198 0.5412 0.4412
Ag 0.5412 0.2214 0.1000
Ag 0.8198 0.8786 0.2786
Ag 0.1802 0.0588 0.9588
Ag 0.2214 0.6802 0.1214
Ag 0.8786 0.0588 0.6000
Ag 0.4412 0.4000 0.6214
Ag 0.1000 0.3786 0.0588
Ag 0.4588 0.7786 0.9000
Ag 0.1214 0.1802 0.2214
Ag 0.3198 0.7786 0.3786
Ag 0.8198 0.9412 0.0412
Ag 0.6000 0.5588 0.8786
Ag 0.8786 0.8198 0.7786
Ag 0.9412 0.8198 0.5412
Ag 0.4000 0.9588 0.7786
Ag 0.4588 0.6802 0.0588
Ag 0.6214 0.9000 0.4412
Ag 0.3786 0.2786 0.3198
Ag 0.9412 0.1214 0.9000
Ag 0.6802 0.4588 0.5588
Ag 0.9588 0.4000 0.2786
Ag 0.1214 0.9412 0.4000
Ag 0.5588 0.6000 0.3786
Ag 0.6802 0.2214 0.6214
Ag 0.9588 0.5588 0.1802
Ag 0.4000 0.4412 0.1214
Ag 0.9000 0.6214 0.9412
Ag 0.0588 0.8786 0.1000
Ag 0.4412 0.0412 0.3198
Ag 0.9000 0.2786 0.4588
Ag 0.0412 0.4412 0.8198
Ag 0.2214 0.5412 0.6000
Ag 0.0588 0.1802 0.4588
Ag 0.2786 0.3786 0.8198
Ag 0.5588 0.9588 0.6802
Ag 0.0412 0.6000 0.7214
Ag 0.7214 0.6214 0.1802
Ag 0.2786 0.9000 0.9588
Ag 0.1802 0.1214 0.7214
Ag 0.6214 0.7214 0.6802
Ag 0.5412 0.3198 0.9412
Ag 0.7214 0.1000 0.0412
Ag 0.7786 0.3198 0.8786
Ag 0.7786 0.4588 0.4000
Ag 0.6000 0.0412 0.2214
Ag 0.3786 0.1000 0.5588
Ag 0.1000 0.7214 0.5412
Te 0.6250 0.8750 0.2500
Te 0.8750 0.6250 0.7500
Te 0.2500 0.8750 0.1250
Te 0.1250 0.7500 0.3750
Te 0.0000 0.5000 0.5000
Te 0.5000 0.5000 0.0000
Te 0.3750 0.2500 0.1250
Te 0.5000 0.0000 0.0000
Te 0.0000 0.0000 0.5000
Te 0.6250 0.7500 0.8750
Te 0.5000 0.5000 0.5000
Te 0.1250 0.3750 0.2500
Te 0.0000 0.5000 0.0000
Te 0.7500 0.6250 0.3750
Te 0.7500 0.1250 0.8750
Te 0.3750 0.1250 0.7500
Te 0.0000 0.0000 0.0000
Te 0.5000 0.0000 0.5000
Te 0.8750 0.2500 0.6250
Te 0.2500 0.3750 0.6250

## Properties
theoretical density = 6419 kg/m3
formation energy (no corrections) = 0.022 eV per atom
magnetic moment = 0.0 μB per cell
space-group type = Ia-3d, No. 230
calculated volume = 29.92 Å³ per atom